This record from Alexandria via LeMat-Bulk describes a relaxed structure of Tb2HoThAs4. The functional is PBE.

Calculated values
SG: P2/m (10)
Calculated total energy (eV per atom): -6.499

Lattice parameters (Å, degrees): 7.197 4.168 7.204 90.00 109.47 90.00
Fractional positions:
Tb 0.000 0.000 0.000
Tb 0.500 0.500 0.000
Ho 0.000 0.500 0.500
Th 0.500 0.000 0.500
As 0.245 0.500 0.247
As 0.247 0.000 0.750
As 0.753 0.000 0.250
As 0.755 0.500 0.753

=====

This record from Alexandria via LeMat-Bulk describes a relaxed structure of LaCePm2As4. The functional is PBE.

Calculated values
SG: P2/m (10)
Calculated total energy (eV per atom): -6.384

Lattice parameters (Å, degrees): 7.387 4.268 7.398 90.00 109.44 90.00
Fractional positions:
La 0.000 0.000 0.000
Ce 0.000 0.500 0.500
Pm 0.500 0.000 0.500
Pm 0.500 0.500 0.000
As 0.250 0.000 0.745
As 0.252 0.500 0.256
As 0.748 0.500 0.744
As 0.750 0.000 0.255

=====

This record from Alexandria via LeMat-Bulk describes a relaxed structure of NaZrTaAu2. The functional is PBE.

Calculated values
SG: P4/mmm (123)
Calculated total energy (eV per atom): -4.067

Lattice parameters (Å, degrees): 5.077 5.077 5.031 90.00 90.00 90.00
Fractional positions:
Na 0.000 0.000 0.000
Zr 0.000 0.000 0.500
Ta 0.500 0.500 0.000
Au 0.000 0.500 0.500
Au 0.500 0.000 0.500

=====

This record from Alexandria via LeMat-Bulk describes a relaxed structure of HgMoAu2. The functional is PBE.

Calculated values
SG: P2/m (10)
Calculated total energy (eV per atom): -4.016

Lattice parameters (Å, degrees): 5.263 2.768 5.343 90.00 110.08 90.00
Fractional positions:
Hg 0.000 0.000 0.000
Mo 0.500 0.500 0.000
Au 0.000 0.500 0.500
Au 0.500 0.000 0.500

=====

This record from Alexandria via LeMat-Bulk describes a relaxed structure of Ce3SmAs4. The functional is PBE.

Calculated values
SG: Cmmm (65)
Calculated total energy (eV per atom): -6.592

Lattice parameters (Å, degrees): 7.303 7.303 4.217 90.00 90.00 109.46
Fractional positions:
Ce 0.000 0.000 0.000
Ce 0.000 0.500 0.500
Ce 0.500 0.000 0.500
Sm 0.500 0.500 0.000
As 0.249 0.249 0.500
As 0.250 0.750 0.000
As 0.750 0.250 0.000
As 0.751 0.751 0.500

=====

This record from Alexandria via LeMat-Bulk describes a relaxed structure of Ce2ThSn. The functional is PBE.

Calculated values
Polymorph energy (0 for the lowest one) (meV per atom): 0
SG: P4/mmm (123)
Calculated total energy (eV per atom): -6.187

Lattice parameters (Å, degrees): 4.796 4.796 4.911 90.00 90.00 90.00
Fractional positions:
Ce 0.000 0.500 0.000
Ce 0.500 0.000 0.000
Th 0.000 0.000 0.500
Sn 0.500 0.500 0.500

=====

This record from Alexandria via LeMat-Bulk describes a relaxed structure of LiPa2GaO8. The functional is PBE.

Calculated values
SG: P-3m1 (164)
Calculated total energy (eV per atom): -7.440
Formation energy from raw total energies (meV/atom): -2140

Lattice parameters (Å, degrees): 5.067 5.067 7.218 90.00 90.00 120.00
Fractional positions:
Li 0.000 0.000 0.000
Pa 0.333 0.667 0.337
Pa 0.667 0.333 0.663
Ga 0.000 0.000 0.500
O 0.176 0.351 0.657
O 0.176 0.824 0.657
O 0.333 0.667 0.079
O 0.351 0.176 0.343
O 0.649 0.824 0.657
O 0.667 0.333 0.921
O 0.824 0.176 0.343
O 0.824 0.649 0.343

=====

This record from Alexandria via LeMat-Bulk describes a relaxed structure of Ga4Pd3. The functional is PBE.

Calculated values
SG: R-3m (166)
Calculated total energy (eV per atom): -4.246

Lattice parameters (Å, degrees): 6.428 6.428 6.428 84.07 84.07 84.07
Fractional positions:
Ga 0.205 0.205 0.205
Ga 0.245 0.245 0.742
Ga 0.245 0.742 0.245
Ga 0.258 0.755 0.755
Ga 0.742 0.245 0.245
Ga 0.755 0.258 0.755
Ga 0.755 0.755 0.258
Ga 0.795 0.795 0.795
Pd 0.000 0.000 0.000
Pd 0.000 0.000 0.500
Pd 0.000 0.500 0.000
Pd 0.396 0.396 0.396
Pd 0.500 0.000 0.000
Pd 0.604 0.604 0.604

=====

This record from Alexandria via LeMat-Bulk describes a relaxed structure of Ba2Cd5Ge3. The functional is PBE.

Calculated values
SG: P-4m2 (115)
Calculated total energy (eV per atom): -2.522

Lattice parameters (Å, degrees): 4.796 4.796 11.772 90.00 90.00 90.00
Fractional positions:
Ba 0.000 0.500 0.229
Ba 0.500 0.000 0.771
Cd 0.000 0.000 0.500
Cd 0.000 0.500 0.646
Cd 0.500 0.000 0.354
Cd 0.500 0.500 0.000
Cd 0.500 0.500 0.500
Ge 0.000 0.000 0.000
Ge 0.000 0.500 0.880
Ge 0.500 0.000 0.120

=====

This record from Alexandria via LeMat-Bulk describes a relaxed structure of NaGa2BH. The functional is PBE.

Calculated values
SG: P4/mmm (123)
Calculated total energy (eV per atom): -2.765

Lattice parameters (Å, degrees): 4.590 4.590 3.320 90.00 90.00 90.00
Fractional positions:
Na 0.000 0.000 0.000
Ga 0.000 0.500 0.500
Ga 0.500 0.000 0.500
B 0.500 0.500 0.000
H 0.500 0.500 0.500

=====

This record from Alexandria via LeMat-Bulk describes a relaxed structure of AlHgSCl. The functional is PBE.

Calculated values
SG: Cm (8)
Calculated total energy (eV per atom): -3.432
Formation energy from raw total energies (meV/atom): -927

Lattice parameters (Å, degrees): 3.644 3.644 10.810 99.06 99.06 59.97
Fractional positions:
Al 0.000 0.000 0.000
Hg 0.805 0.805 0.438
S 0.362 0.362 0.093
Cl 0.939 0.939 0.804

=====

This record from Alexandria via LeMat-Bulk describes a relaxed structure of CoNiBi2Rh. The functional is PBE.

Calculated values
SG: P4/mmm (123)
Calculated total energy (eV per atom): -4.796

Lattice parameters (Å, degrees): 4.983 4.983 4.332 90.00 90.00 90.00
Fractional positions:
Co 0.000 0.000 0.000
Ni 0.000 0.000 0.500
Bi 0.000 0.500 0.500
Bi 0.500 0.000 0.500
Rh 0.500 0.500 0.000

=====

This record from Alexandria via LeMat-Bulk describes a relaxed structure of BeZn2Hg. The functional is PBE.

Calculated values
Polymorph energy (0 for the lowest one) (meV per atom): 92
SG: Pmmm (47)
Calculated total energy (eV per atom): -1.336

Lattice parameters (Å, degrees): 2.707 4.296 5.866 90.00 90.00 90.00
Fractional positions:
Be 0.000 0.000 0.000
Zn 0.000 0.500 0.500
Zn 0.500 0.000 0.500
Hg 0.500 0.500 0.000

=====

This record from Alexandria via LeMat-Bulk describes a relaxed structure of SbTeIr2. The functional is PBE.

Calculated values
Polymorph energy (0 for the lowest one) (meV per atom): 728
SG: F-43m (216)
Calculated total energy (eV per atom): -5.446
Formation energy from raw total energies (meV/atom): 801

Lattice parameters (Å, degrees): 4.782 4.782 4.782 60.00 60.00 60.00
Fractional positions:
Sb 0.000 0.000 0.000
Te 0.250 0.250 0.250
Ir 0.500 0.500 0.500
Ir 0.750 0.750 0.750

=====

This record from Alexandria via LeMat-Bulk describes a relaxed structure of Ac3SnPd4. The functional is PBE.

Calculated values
SG: Immm (71)
Calculated total energy (eV per atom): -5.396

Lattice parameters (Å, degrees): 8.705 8.705 8.705 151.44 134.50 54.60
Fractional positions:
Ac 0.000 0.000 0.000
Ac 0.312 0.812 0.500
Ac 0.688 0.188 0.500
Sn 0.500 0.500 0.000
Pd 0.080 0.377 0.702
Pd 0.325 0.623 0.702
Pd 0.675 0.377 0.298
Pd 0.920 0.623 0.298

=====

This record from Alexandria via LeMat-Bulk describes a relaxed structure of Ge3SeI. The functional is PBE.

Calculated values
Polymorph energy (0 for the lowest one) (meV per atom): 591
SG: Pm-3m (221)
Calculated total energy (eV per atom): -2.557
Formation energy from raw total energies (meV/atom): 1220

Lattice parameters (Å, degrees): 5.496 5.496 5.496 90.00 90.00 90.00
Fractional positions:
Ge 0.000 0.000 0.500
Ge 0.000 0.500 0.000
Ge 0.500 0.000 0.000
Se 0.500 0.500 0.500
I 0.000 0.000 0.000

=====

This record from Alexandria via LeMat-Bulk describes a relaxed structure of NiAsP2. The functional is PBE.

Calculated values
SG: Immm (71)
Calculated total energy (eV per atom): -5.038

Lattice parameters (Å, degrees): 5.601 5.601 5.601 152.18 132.55 55.90
Fractional positions:
Ni 0.000 0.000 0.000
As 0.500 0.500 0.000
P 0.195 0.695 0.500
P 0.805 0.305 0.500

=====

This record from Alexandria via LeMat-Bulk describes a relaxed structure of LiTeI6. The functional is PBE.

Calculated values
SG: P-1 (2)
Calculated total energy (eV per atom): -2.032
Formation energy from raw total energies (meV/atom): -237

Lattice parameters (Å, degrees): 7.367 7.523 7.532 61.44 88.23 63.30
Fractional positions:
Li 0.000 0.000 0.000
Te 0.500 0.000 0.500
I 0.228 0.834 0.752
I 0.250 0.171 0.093
I 0.258 0.472 0.451
I 0.742 0.528 0.549
I 0.750 0.829 0.907
I 0.772 0.166 0.248

=====

This record from Alexandria via LeMat-Bulk describes a relaxed structure of CsRb3P2S6. The functional is PBE.

Calculated values
SG: P-3m1 (164)
Calculated total energy (eV per atom): -4.063
Formation energy from raw total energies (meV/atom): -784

Lattice parameters (Å, degrees): 7.308 7.308 10.485 90.00 90.00 120.00
Fractional positions:
Cs 0.000 0.000 0.000
Rb 0.000 0.000 0.500
Rb 0.333 0.667 0.290
Rb 0.667 0.333 0.710
P 0.333 0.667 0.689
P 0.667 0.333 0.311
S 0.178 0.355 0.736
S 0.178 0.822 0.736
S 0.355 0.178 0.264
S 0.645 0.822 0.736
S 0.822 0.178 0.264
S 0.822 0.645 0.264

=====

This record from Alexandria via LeMat-Bulk describes a relaxed structure of SmAlAu11. The functional is PBE.

Calculated values
SG: C2/m (12)
Calculated total energy (eV per atom): -3.694

Lattice parameters (Å, degrees): 7.265 7.265 7.190 97.56 97.56 135.26
Fractional positions:
Sm 0.000 0.000 0.000
Al 0.500 0.500 0.500
Au 0.000 0.000 0.500
Au 0.000 0.500 0.000
Au 0.001 0.662 0.651
Au 0.312 0.521 0.782
Au 0.338 0.999 0.349
Au 0.479 0.688 0.218
Au 0.500 0.000 0.000
Au 0.521 0.312 0.782
Au 0.662 0.001 0.651
Au 0.688 0.479 0.218
Au 0.999 0.338 0.349

=====

This record from Alexandria via LeMat-Bulk describes a relaxed structure of Tl2InSbO6. The functional is PBE.

Calculated values
SG: P4mm (99)
Calculated total energy (eV per atom): -5.093
Formation energy from raw total energies (meV/atom): -959

Lattice parameters (Å, degrees): 5.473 5.473 5.182 90.00 90.00 90.00
Fractional positions:
Tl 0.000 0.500 0.000
Tl 0.500 0.000 0.000
In 0.000 0.000 0.531
Sb 0.500 0.500 0.561
O 0.000 0.000 0.131
O 0.258 0.258 0.688
O 0.258 0.742 0.688
O 0.500 0.500 0.189
O 0.742 0.258 0.688
O 0.742 0.742 0.688

=====

This record from Alexandria via LeMat-Bulk describes a relaxed structure of U3SbH. The functional is PBE.

Calculated values
Polymorph energy (0 for the lowest one) (meV per atom): 0
SG: Pm-3m (221)
Calculated total energy (eV per atom): -8.353

Lattice parameters (Å, degrees): 4.521 4.521 4.521 90.00 90.00 90.00
Fractional positions:
U 0.000 0.000 0.500
U 0.000 0.500 0.000
U 0.500 0.000 0.000
Sb 0.500 0.500 0.500
H 0.000 0.000 0.000

=====

This record from Alexandria via LeMat-Bulk describes a relaxed structure of ZrSbAs. The functional is PBE.

Calculated values
Polymorph energy (0 for the lowest one) (meV per atom): 300
SG: P3m1 (156)
Calculated total energy (eV per atom): -6.090
Formation energy from raw total energies (meV/atom): -316

Lattice parameters (Å, degrees): 3.594 3.594 6.312 90.00 90.00 120.00
Fractional positions:
Zr 0.000 0.000 0.000
Sb 0.333 0.667 0.646
As 0.667 0.333 0.270

=====

This record from Alexandria via LeMat-Bulk describes a relaxed structure of Er3Tl4Cd2. The functional is PBE.

Calculated values
SG: C2/m (12)
Calculated total energy (eV per atom): -2.984

Lattice parameters (Å, degrees): 6.225 6.225 9.378 115.29 115.29 46.65
Fractional positions:
Er 0.000 0.000 0.000
Er 0.344 0.344 0.323
Er 0.656 0.656 0.677
Tl 0.034 0.034 0.360
Tl 0.315 0.315 0.966
Tl 0.685 0.685 0.034
Tl 0.966 0.966 0.640
Cd 0.340 0.340 0.667
Cd 0.660 0.660 0.333

=====

This record from Alexandria via LeMat-Bulk describes a relaxed structure of Pr2YBi. The functional is PBE.

Calculated values
Polymorph energy (0 for the lowest one) (meV per atom): 6
SG: P4/mmm (123)
Calculated total energy (eV per atom): -5.387

Lattice parameters (Å, degrees): 4.952 4.952 5.071 90.00 90.00 90.00
Fractional positions:
Pr 0.000 0.500 0.000
Pr 0.500 0.000 0.000
Y 0.000 0.000 0.500
Bi 0.500 0.500 0.500

=====

no.,V (Å³ per cell)
1,203.8
2,219.9
3,129.7
4,73.1
5,212.0
6,113.0
7,160.5
8,261.6
9,270.8
10,69.9
11,122.2
12,107.6
13,68.2
14,77.3
15,223.6
16,166.0
17,60.1
18,318.4
19,484.9
20,250.7
21,155.2
22,92.4
23,70.6
24,233.9
25,124.3